Sc2VI2 | GGA-PBE | relaxed

```
Sc2VI2
1.0
-2.476 2.476 6.091
2.476 -2.476 6.091
2.476 2.476 -6.091
Sc V I
2 1 2
Direct
0.250 0.750 0.500
0.750 0.250 0.500
0.000 0.000 0.000
0.363 0.363 0.000
0.637 0.637 0.000
```

Calculated values
E_form (uncorrected) (eV/atom): 0.3697
D(E_F) (states/eV/cell): 6.39
ΔE to the lowest computed polymorph (eV/atom): 0.2621
Density (g cm⁻³): 4.39